HoNbN3 | GGA-PBE | optimized geometry

Unit cell a=5.616 b=3.723 c=8.227 alpha=90.00 beta=109.05 gamma=90.00
Fractional coordinates of all 10 atoms:
Ho: 0.041 0.250 0.322
Ho: 0.959 0.750 0.678
Nb: 0.484 0.250 0.831
Nb: 0.516 0.750 0.169
N: 0.192 0.250 0.615
N: 0.233 0.750 0.244
N: 0.366 0.750 0.885
N: 0.634 0.250 0.115
N: 0.767 0.250 0.756
N: 0.808 0.750 0.385

- Calculated density: 6125 kg/m³
- Total moment: 1.95 μB/cell
- Space group: No. 11
- Formation energy without anion corrections: -86.6 kJ/mol of atoms

***

AsOsBr2 | GGA-PBE | optimized geometry

Unit cell a=9.612 b=9.612 c=9.612 alpha=21.88 beta=21.88 gamma=21.88
Fractional coordinates of all 4 atoms:
As: 0.000 0.000 0.000
Os: 0.500 0.500 0.500
Br: 0.215 0.215 0.215
Br: 0.785 0.785 0.785

- Calculated density: 6531 kg/m³
- Total moment: 1.16 μB/cell
- ΔE to the lowest computed polymorph: 779 meV/atom
- Space group: No. 166
- Formation energy without anion corrections: 83.8 kJ/mol of atoms

***

> total moment of number 1 (HoNbN3)?

1.95 μB/cell

***

Repeat the first record exactly.
HoNbN3 | GGA-PBE | optimized geometry

Unit cell a=5.616 b=3.723 c=8.227 alpha=90.00 beta=109.05 gamma=90.00
Fractional coordinates of all 10 atoms:
Ho: 0.041 0.250 0.322
Ho: 0.959 0.750 0.678
Nb: 0.484 0.250 0.831
Nb: 0.516 0.750 0.169
N: 0.192 0.250 0.615
N: 0.233 0.750 0.244
N: 0.366 0.750 0.885
N: 0.634 0.250 0.115
N: 0.767 0.250 0.756
N: 0.808 0.750 0.385

- Calculated density: 6125 kg/m³
- Total moment: 1.95 μB/cell
- Space group: No. 11
- Formation energy without anion corrections: -86.6 kJ/mol of atoms

***

> Among the records above, which one has the lowest formation energy without anion corrections?

HoNbN3